Record 1
# Cs2NaTaPt (GGA-PBEsol, relaxed)
# Final energy, Ha/atom: -0.1069
# N(E_F), states/eV/atom: 1.42
data_Cs2NaTaPt
_space_group_name_H-M_alt 'P 4/m m m'
_space_group_IT_number 123
_space_group_name_Hall '-P 4 2'
_cell_length_a 6.1952
_cell_length_b 6.1952
_cell_length_c 4.9745
_cell_angle_alpha 90.00
_cell_angle_beta 90.00
_cell_angle_gamma 90.00
loop_
_atom_site_label
_atom_site_type_symbol
_atom_site_fract_x
_atom_site_fract_y
_atom_site_fract_z
Cs1 Cs 0.0000 0.5000 0.0000
Na1 Na 0.0000 0.0000 0.0000
Ta1 Ta 0.5000 0.5000 0.5000
Pt1 Pt 0.0000 0.0000 0.5000

Record 2
# CsNaTcPt2 (GGA-PBEsol, relaxed)
# Final energy, Ha/atom: -0.1330
# N(E_F), states/eV/atom: 0.76
data_CsNaTcPt2
_space_group_name_H-M_alt 'P 4/m m m'
_space_group_IT_number 123
_space_group_name_Hall '-P 4 2'
_cell_length_a 4.8999
_cell_length_b 4.8999
_cell_length_c 5.0217
_cell_angle_alpha 90.00
_cell_angle_beta 90.00
_cell_angle_gamma 90.00
loop_
_atom_site_label
_atom_site_type_symbol
_atom_site_fract_x
_atom_site_fract_y
_atom_site_fract_z
Cs1 Cs 0.0000 0.0000 0.0000
Na1 Na 0.0000 0.0000 0.5000
Tc1 Tc 0.5000 0.5000 0.0000
Pt1 Pt 0.0000 0.5000 0.5000

Record 3
# CsNaPt2W (GGA-PBEsol, relaxed)
# Final energy, Ha/atom: -0.1851
# N(E_F), states/eV/atom: 0.70
data_CsNaPt2W
_space_group_name_H-M_alt 'P 4/m m m'
_space_group_IT_number 123
_space_group_name_Hall '-P 4 2'
_cell_length_a 4.8876
_cell_length_b 4.8876
_cell_length_c 5.7344
_cell_angle_alpha 90.00
_cell_angle_beta 90.00
_cell_angle_gamma 90.00
loop_
_atom_site_label
_atom_site_type_symbol
_atom_site_fract_x
_atom_site_fract_y
_atom_site_fract_z
Cs1 Cs 0.0000 0.0000 0.0000
Na1 Na 0.5000 0.5000 0.0000
Pt1 Pt 0.0000 0.5000 0.5000
W1 W 0.0000 0.0000 0.5000

Record 4
# Cs3RbNa (GGA-PBEsol, relaxed)
# Final energy, Ha/atom: -0.0359
# N(E_F), states/eV/atom: 0.88
data_Cs3RbNa
_space_group_name_H-M_alt 'P m -3 m'
_space_group_IT_number 221
_space_group_name_Hall '-P 4 2 3'
_cell_length_a 7.9245
_cell_length_b 7.9245
_cell_length_c 7.9245
_cell_angle_alpha 90.00
_cell_angle_beta 90.00
_cell_angle_gamma 90.00
loop_
_atom_site_label
_atom_site_type_symbol
_atom_site_fract_x
_atom_site_fract_y
_atom_site_fract_z
Cs1 Cs 0.0000 0.0000 0.5000
Rb1 Rb 0.5000 0.5000 0.5000
Na1 Na 0.0000 0.0000 0.0000

Record 5
# CsRb2Na (GGA-PBEsol, relaxed)
# Final energy, Ha/atom: -0.0394
# N(E_F), states/eV/atom: 0.77
# Offset from the most stable computed form, eV per atom: 0.000
data_CsRb2Na
_space_group_name_H-M_alt 'F m -3 m'
_space_group_IT_number 225
_space_group_name_Hall '-F 4 2 3'
_cell_length_a 10.5611
_cell_length_b 10.5611
_cell_length_c 10.5611
_cell_angle_alpha 90.00
_cell_angle_beta 90.00
_cell_angle_gamma 90.00
loop_
_atom_site_label
_atom_site_type_symbol
_atom_site_fract_x
_atom_site_fract_y
_atom_site_fract_z
Cs1 Cs 0.0000 0.0000 0.0000
Rb1 Rb 0.2500 0.2500 0.2500
Na1 Na 0.0000 0.0000 0.5000

Record 6
# CsRb3Na (GGA-PBEsol, relaxed)
# Final energy, Ha/atom: -0.0373
# N(E_F), states/eV/atom: 0.79
data_CsRb3Na
_space_group_name_H-M_alt 'P m -3 m'
_space_group_IT_number 221
_space_group_name_Hall '-P 4 2 3'
_cell_length_a 7.6143
_cell_length_b 7.6143
_cell_length_c 7.6143
_cell_angle_alpha 90.00
_cell_angle_beta 90.00
_cell_angle_gamma 90.00
loop_
_atom_site_label
_atom_site_type_symbol
_atom_site_fract_x
_atom_site_fract_y
_atom_site_fract_z
Cs1 Cs 0.0000 0.0000 0.0000
Rb1 Rb 0.0000 0.5000 0.5000
Na1 Na 0.5000 0.5000 0.5000

Record 7
# CsRb2Na (GGA-PBEsol, relaxed)
# Final energy, Ha/atom: -0.0374
# N(E_F), states/eV/atom: 0.85
# Offset from the most stable computed form, eV per atom: 0.054
data_CsRb2Na
_space_group_name_H-M_alt 'I -4 2 d'
_space_group_IT_number 122
_space_group_name_Hall 'I -4 2bw'
_cell_length_a 6.3009
_cell_length_b 6.3009
_cell_length_c 32.0207
_cell_angle_alpha 90.00
_cell_angle_beta 90.00
_cell_angle_gamma 90.00
loop_
_atom_site_label
_atom_site_type_symbol
_atom_site_fract_x
_atom_site_fract_y
_atom_site_fract_z
Cs1 Cs 0.0000 0.0000 0.0000
Rb1 Rb 0.2314 0.2500 0.6250
Na1 Na 0.0000 0.0000 0.5000

Record 8
# CsNaRh3 (GGA-PBEsol, relaxed)
# Final energy, Ha/atom: -0.1289
# N(E_F), states/eV/atom: 1.25
data_CsNaRh3
_space_group_name_H-M_alt 'P m -3 m'
_space_group_IT_number 221
_space_group_name_Hall '-P 4 2 3'
_cell_length_a 4.8962
_cell_length_b 4.8962
_cell_length_c 4.8962
_cell_angle_alpha 90.00
_cell_angle_beta 90.00
_cell_angle_gamma 90.00
loop_
_atom_site_label
_atom_site_type_symbol
_atom_site_fract_x
_atom_site_fract_y
_atom_site_fract_z
Cs1 Cs 0.0000 0.0000 0.0000
Na1 Na 0.5000 0.5000 0.5000
Rh1 Rh 0.0000 0.0000 0.5000

Record 9
# CsNa2S2 (GGA-PBEsol, relaxed)
# Final energy, Ha/atom: -0.1228
# E_form (uncorrected), eV/atom: -0.839
# N(E_F), states/eV/atom: 0.20
data_CsNa2S2
_space_group_name_H-M_alt 'I 4/m m m'
_space_group_IT_number 139
_space_group_name_Hall '-I 4 2'
_cell_length_a 4.7643
_cell_length_b 4.7643
_cell_length_c 11.5340
_cell_angle_alpha 90.00
_cell_angle_beta 90.00
_cell_angle_gamma 90.00
loop_
_atom_site_label
_atom_site_type_symbol
_atom_site_fract_x
_atom_site_fract_y
_atom_site_fract_z
Cs1 Cs 0.0000 0.0000 0.0000
Na1 Na 0.0000 0.5000 0.2500
S1 S 0.0000 0.0000 0.3753

Record 10
# CsNa3S (GGA-PBEsol, relaxed)
# Final energy, Ha/atom: -0.0436
# E_form (uncorrected), eV/atom: 0.720
# N(E_F), states/eV/atom: 0.31
data_CsNa3S
_space_group_name_H-M_alt 'P m -3 m'
_space_group_IT_number 221
_space_group_name_Hall '-P 4 2 3'
_cell_length_a 6.3318
_cell_length_b 6.3318
_cell_length_c 6.3318
_cell_angle_alpha 90.00
_cell_angle_beta 90.00
_cell_angle_gamma 90.00
loop_
_atom_site_label
_atom_site_type_symbol
_atom_site_fract_x
_atom_site_fract_y
_atom_site_fract_z
Cs1 Cs 0.0000 0.0000 0.0000
Na1 Na 0.0000 0.0000 0.5000
S1 S 0.5000 0.5000 0.5000

Record 11
# CsNaS (GGA-PBEsol, relaxed)
# Final energy, Ha/atom: -0.1227
# E_form (uncorrected), eV/atom: -1.096
# N(E_F), states/eV/atom: 0.00
data_CsNaS
_space_group_name_H-M_alt 'P 4/n m m'
_space_group_IT_number 129
_cell_length_a 4.7419
_cell_length_b 4.7419
_cell_length_c 7.8124
_cell_angle_alpha 90.00
_cell_angle_beta 90.00
_cell_angle_gamma 90.00
loop_
_space_group_symop_operation_xyz
'x,y,z'
'-x,-y,-z'
'-y+1/2,x,z'
'y+1/2,-x,-z'
'-x+1/2,-y+1/2,z'
'x+1/2,y+1/2,-z'
'y,-x+1/2,z'
'-y,x+1/2,-z'
'x+1/2,-y,-z'
'-x+1/2,y,z'
'-y,-x,-z'
'y,x,z'
'-x,y+1/2,-z'
'x,-y+1/2,z'
'y+1/2,x+1/2,-z'
'-y+1/2,-x+1/2,z'
loop_
_atom_site_label
_atom_site_type_symbol
_atom_site_fract_x
_atom_site_fract_y
_atom_site_fract_z
Cs1 Cs 0.2500 0.2500 0.1483
Na1 Na 0.2500 0.7500 0.5000
S1 S 0.2500 0.2500 0.6965

Record 12
# Cs3NaSb (GGA-PBEsol, relaxed)
# Final energy, Ha/atom: -0.0543
# E_form (uncorrected), eV/atom: 0.280
# N(E_F), states/eV/atom: 1.74
data_Cs3NaSb
_space_group_name_H-M_alt 'P m -3 m'
_space_group_IT_number 221
_space_group_name_Hall '-P 4 2 3'
_cell_length_a 6.7449
_cell_length_b 6.7449
_cell_length_c 6.7449
_cell_angle_alpha 90.00
_cell_angle_beta 90.00
_cell_angle_gamma 90.00
loop_
_atom_site_label
_atom_site_type_symbol
_atom_site_fract_x
_atom_site_fract_y
_atom_site_fract_z
Cs1 Cs 0.0000 0.0000 0.5000
Na1 Na 0.0000 0.0000 0.0000
Sb1 Sb 0.5000 0.5000 0.5000

Q: Which magnetization values were calculated for the entries above? A: 3.96; 4.14; 0.00; 0.00; 0.00; 0.00; 0.00; 0.03; 1.86; 0.00; 0.00; 0.89, in Bohr magnetons per cell.